# PBE-GGA ZnTc4Rh2, relaxed
data_ZnTc4Rh2
_chemical_formula_sum 'Zn2 Tc8 Rh4'
_space_group_name_H-M_alt 'I 4/m m m'
_space_group_IT_number 139
_space_group_name_Hall '-I 4 2'
_cell_length_a 4.461
_cell_length_b 4.461
_cell_length_c 12.518
_cell_angle_alpha 90.00
_cell_angle_beta 90.00
_cell_angle_gamma 90.00
loop_
_atom_site_label
_atom_site_type_symbol
_atom_site_fract_x
_atom_site_fract_y
_atom_site_fract_z
Zn1 Zn 0.000 0.000 0.000
Tc1 Tc 0.000 0.000 0.190
Tc2 Tc 0.000 0.500 0.000
Rh1 Rh 0.000 0.000 0.377
# - total energy (eV/atom) = -6.8278
# - energy of formation from the pure elements (eV per atom) = 1.3781
# - magnetization (μB/cell) = 4.7